(1)
TcSO6F | the Alexandria database | PBEsol | relaxed; symmetry = P2_1/c; theoretical density = 3.03 g/cm3; ΔE_f (raw) = -1.360 eV/atom
1.0
7.154 0.000 0.064
0.000 8.368 0.000
-1.066 0.000 8.968
Tc S O F
4 4 24 4
Direct
0.748 0.651 0.153
0.748 0.849 0.653
0.252 0.349 0.847
0.252 0.151 0.347
0.915 0.218 0.581
0.085 0.782 0.419
0.915 0.282 0.081
0.085 0.718 0.919
0.587 0.899 0.765
0.039 0.159 0.151
0.657 0.904 0.481
0.034 0.839 0.561
0.961 0.841 0.849
0.966 0.161 0.439
0.413 0.101 0.235
0.343 0.404 0.019
0.343 0.096 0.519
0.657 0.596 0.981
0.966 0.339 0.939
0.253 0.351 0.351
0.747 0.649 0.649
0.870 0.094 0.684
0.747 0.851 0.149
0.130 0.906 0.316
0.587 0.601 0.265
0.034 0.661 0.061
0.961 0.659 0.349
0.870 0.406 0.184
0.413 0.399 0.735
0.253 0.149 0.851
0.039 0.341 0.651
0.130 0.594 0.816
0.273 0.807 0.963
0.727 0.307 0.537
0.273 0.693 0.463
0.727 0.193 0.037



(2)
TeSOF2 | the Alexandria database | PBEsol | relaxed; symmetry = P4/mmm; theoretical density = 4.73 g/cm3; ΔE_f (raw) = -0.268 eV/atom
1.0
3.317 0.000 0.000
0.000 4.757 0.000
0.000 0.000 4.757
S Te O F
1 1 1 2
Direct
0.000 0.000 0.000
0.500 0.500 0.500
0.500 0.000 0.000
0.000 0.000 0.500
0.000 0.500 0.000



(3)
TiSOF2 | the Alexandria database | PBEsol | relaxed; symmetry = P4/mmm; theoretical density = 3.16 g/cm3; ΔE_f (raw) = -0.465 eV/atom
1.0
3.403 0.000 0.000
0.000 4.551 0.000
0.000 0.000 4.551
S F O Ti
1 2 1 1
Direct
0.000 0.000 0.000
0.000 0.000 0.500
0.000 0.500 0.000
0.500 0.000 0.000
0.500 0.500 0.500



(4)
Y3SOF5 | the Alexandria database | PBEsol | relaxed; symmetry = Pm; theoretical density = 5.01 g/cm3; ΔE_f (raw) = -3.789 eV/atom
1.0
-2.611 2.311 0.978
-4.972 -2.489 -7.399
-1.084 -4.614 8.013
Y S O F
6 2 2 10
Direct
0.000 0.417 0.133
0.000 0.868 0.271
0.000 0.701 0.585
0.500 0.596 0.897
0.500 0.122 0.715
0.500 0.296 0.403
0.000 0.330 0.667
0.500 0.673 0.338
0.000 0.436 0.387
0.000 0.617 0.052
0.000 0.156 0.880
0.000 0.113 0.274
0.000 0.726 0.839
0.500 0.856 0.118
0.500 0.879 0.717
0.500 0.270 0.148
0.000 0.953 0.566
0.500 0.569 0.626
0.500 0.377 0.952
0.500 0.045 0.433